A plane-wave DFT calculation with SCAN was carried out for MgHgI2N at its PBEsol-relaxed geometry.

Computed properties:
DOS(E_F)	1.79	states/eV per cell
energy relative to the elements, uncorrected	0.67	eV/atom
energy	-30.509	eV/atom

Unit cell a=4.026 b=6.088 c=6.088 alpha=90.00 beta=90.00 gamma=90.00
Element x y z (fractional)
I: 0.000 0.000 0.500
I: 0.000 0.500 0.000
Mg: 0.500 0.500 0.500
Hg: 0.000 0.000 0.000
N: 0.500 0.000 0.000